Here is a geometry-optimized Ca4ThMg5 structure from the Alexandria database. Energies are from PBE-GGA.

DOS at the Fermi energy: 9.8 states/eV per cell
DFT formation energy: -40 meV per atom

```
Ca4ThMg5
1.0
3.866 0.000 0.000
0.000 3.866 0.000
0.000 0.000 20.333
Ca Th Mg
4 1 5
direct
0.000 0.000 0.102 Ca
0.000 0.000 0.304 Ca
0.000 0.000 0.696 Ca
0.000 0.000 0.898 Ca
0.000 0.000 0.500 Th
0.500 0.500 0.000 Mg
0.500 0.500 0.203 Mg
0.500 0.500 0.403 Mg
0.500 0.500 0.597 Mg
0.500 0.500 0.797 Mg
```